This record from Alexandria via LeMat-Bulk describes a geometry-optimized HoZr2Te4 structure. The functional is PBE-GGA.

Properties
Fermi-level density of states = 10.20 states/eV/cell
calculated total energy = -81.16 eV for the cell shown
M_tot = 0.0 Bohr magnetons per cell

The structure in POSCAR format:
```
HoZr2Te4
1.0
1.993 -6.752 0.000
1.993 6.752 0.000
0.000 0.000 14.854
Ho Zr Te
2 4 8
direct
0.099 0.901 0.750
0.901 0.099 0.250
0.346 0.654 0.559
0.346 0.654 0.941
0.654 0.346 0.059
0.654 0.346 0.441
0.000 0.000 0.000
0.000 0.000 0.500
0.291 0.709 0.127
0.291 0.709 0.373
0.432 0.568 0.750
0.568 0.432 0.250
0.709 0.291 0.627
0.709 0.291 0.873
```